(1)
Entry from Alexandria: a geometry-optimized Li4Fe3Co3O12 structure (PBE with a Hubbard U).

Cell: 5.692 5.901 6.611 Å, 74.36 77.95 89.63°
Fractional coordinates of all 22 atoms:
Li 0.000 0.000 0.000
Li 0.199 0.640 0.357
Li 0.500 0.000 0.000
Li 0.801 0.360 0.643
Fe 0.000 0.500 0.000
Fe 0.334 0.834 0.666
Fe 0.666 0.166 0.334
Co 0.168 0.165 0.337
Co 0.500 0.500 0.000
Co 0.832 0.835 0.663
O 0.078 0.610 0.673
O 0.087 0.053 0.651
O 0.251 0.259 0.030
O 0.261 0.741 0.984
O 0.411 0.936 0.354
O 0.425 0.389 0.309
O 0.575 0.611 0.691
O 0.589 0.064 0.646
O 0.739 0.259 0.016
O 0.749 0.741 0.970
O 0.913 0.947 0.349
O 0.922 0.390 0.327

Raw total energy   -128.641 eV/f.u.

=====

(2)
Entry from Alexandria: a geometry-optimized Li4Fe5Co3O16 structure (PBE with a Hubbard U).

Cell: 5.777 5.777 9.443 Å, 90.13 90.13 59.90°
Fractional coordinates of all 28 atoms:
Li 0.000 0.000 0.000
Li 0.002 0.002 0.496
Li 0.331 0.331 0.897
Li 0.664 0.664 0.389
Fe 0.169 0.169 0.214
Fe 0.337 0.337 0.487
Fe 0.340 0.833 0.715
Fe 0.664 0.664 0.992
Fe 0.833 0.340 0.715
Co 0.167 0.662 0.213
Co 0.662 0.167 0.213
Co 0.832 0.832 0.713
O 0.007 0.007 0.812
O 0.037 0.483 0.332
O 0.165 0.165 0.603
O 0.173 0.678 0.602
O 0.323 0.837 0.106
O 0.333 0.333 0.109
O 0.480 0.480 0.326
O 0.483 0.037 0.332
O 0.507 0.964 0.838
O 0.517 0.517 0.834
O 0.661 0.661 0.604
O 0.678 0.173 0.602
O 0.837 0.323 0.106
O 0.839 0.839 0.109
O 0.964 0.507 0.838
O 0.999 0.999 0.309

Raw total energy   -165.456 eV/f.u.

=====

(3)
Entry from Alexandria: a geometry-optimized Li2FeCo3O8 structure (PBE with a Hubbard U).

Cell: 8.148 8.174 8.190 Å, 89.99 89.93 90.00°
Fractional coordinates of all 56 atoms:
Li 0.000 0.000 0.000
Li 0.000 0.498 0.500
Li 0.253 0.252 0.250
Li 0.255 0.754 0.751
Li 0.499 0.001 0.500
Li 0.499 0.500 0.000
Li 0.750 0.251 0.750
Li 0.751 0.754 0.250
Fe 0.129 0.376 0.874
Fe 0.377 0.627 0.376
Fe 0.625 0.121 0.125
Fe 0.872 0.879 0.625
Co 0.121 0.632 0.127
Co 0.126 0.882 0.370
Co 0.131 0.127 0.620
Co 0.371 0.877 0.121
Co 0.376 0.121 0.872
Co 0.382 0.371 0.625
Co 0.620 0.871 0.876
Co 0.626 0.621 0.629
Co 0.631 0.376 0.379
Co 0.870 0.627 0.880
Co 0.875 0.380 0.129
Co 0.881 0.132 0.375
O 0.104 0.625 0.894
O 0.107 0.397 0.123
O 0.116 0.116 0.388
O 0.125 0.895 0.602
O 0.126 0.647 0.356
O 0.134 0.864 0.140
O 0.142 0.128 0.854
O 0.145 0.357 0.627
O 0.349 0.642 0.127
O 0.357 0.872 0.358
O 0.364 0.137 0.639
O 0.372 0.354 0.860
O 0.378 0.112 0.102
O 0.387 0.890 0.889
O 0.394 0.607 0.622
O 0.401 0.379 0.391
O 0.605 0.879 0.110
O 0.607 0.106 0.877
O 0.617 0.389 0.611
O 0.626 0.607 0.395
O 0.627 0.850 0.640
O 0.639 0.636 0.862
O 0.645 0.145 0.372
O 0.645 0.374 0.145
O 0.858 0.627 0.647
O 0.859 0.856 0.870
O 0.863 0.366 0.361
O 0.874 0.151 0.141
O 0.877 0.395 0.896
O 0.887 0.614 0.113
O 0.895 0.897 0.378
O 0.899 0.123 0.609

Energy above the lowest structure with this stoichiometry   0.0 meV/atom
Raw total energy   -82.030 eV/f.u.

=====

(4)
Entry from Alexandria: a geometry-optimized Li4Fe3CoP4O16 structure (PBE with a Hubbard U).

Cell: 4.753 6.057 10.412 Å, 90.00 90.05 90.00°
Fractional coordinates of all 28 atoms:
Li 0.000 0.250 0.000
Li 0.000 0.750 0.000
Li 0.500 0.250 0.498
Li 0.500 0.750 0.498
Fe 0.025 0.000 0.717
Fe 0.475 0.000 0.218
Fe 0.525 0.500 0.779
Co 0.981 0.500 0.281
P 0.082 0.500 0.591
P 0.418 0.500 0.095
P 0.582 0.000 0.905
P 0.917 0.000 0.403
O 0.205 0.500 0.452
O 0.216 0.296 0.662
O 0.216 0.704 0.662
O 0.240 0.000 0.401
O 0.259 0.000 0.903
O 0.282 0.297 0.166
O 0.282 0.703 0.166
O 0.295 0.500 0.957
O 0.706 0.000 0.043
O 0.716 0.204 0.834
O 0.716 0.796 0.834
O 0.741 0.500 0.099
O 0.758 0.500 0.593
O 0.783 0.204 0.331
O 0.783 0.796 0.331
O 0.792 0.000 0.540

Raw total energy   -189.785 eV/f.u.

=====

| no. | total magnetization (μB per formula unit) |
| --- | --- |
| 1 | 8.97 |
| 2 | 21.05 |
| 3 | 6.48 |
| 4 | 15.00 |